VASP calculation (PBE) on a relaxed NaLiAc crystal.

Summary:
For the formation energy, the calculation gives 166 meV per atom. The crystal system is tetragonal. The total magnetization is 0.38 μB/cell. The calculation puts the distance to the lowest polymorph of the same formula at 0.0416 eV per atom. Its space-group type is I4mm (107).

Lattice parameters (Å, degrees): 3.899 3.899 13.434 90.00 90.00 90.00
Atoms (fractional coordinates):
Na1 0.000 0.000 0.000
Na2 0.500 0.500 0.500
Li1 0.000 0.000 0.624
Li2 0.500 0.500 0.124
Ac1 0.000 0.000 0.293
Ac2 0.500 0.500 0.793

=====

VASP calculation (PBE) on a relaxed Ca3PdAu4 crystal.

Summary:
For the formation energy, the calculation gives -480 meV per atom. The crystal system is orthorhombic. The total magnetization is 0.00 μB/cell. Its space-group type is Immm (71).

Lattice parameters (Å, degrees): 5.107 8.595 9.986 90.00 90.00 90.00
Atoms (fractional coordinates):
Ca1 0.000 0.000 0.000
Ca2 0.000 0.500 0.173
Ca3 0.000 0.500 0.827
Ca4 0.500 0.000 0.327
Ca5 0.500 0.000 0.673
Ca6 0.500 0.500 0.500
Pd1 0.000 0.000 0.500
Pd2 0.500 0.500 0.000
Au1 0.000 0.177 0.272
Au2 0.000 0.177 0.728
Au3 0.000 0.823 0.272
Au4 0.000 0.823 0.728
Au5 0.500 0.323 0.228
Au6 0.500 0.323 0.772
Au7 0.500 0.677 0.228
Au8 0.500 0.677 0.772

=====

VASP calculation (PBE) on a relaxed Li4CuAg crystal.

Summary:
For the formation energy, the calculation gives -80 meV per atom. The crystal system is monoclinic. The total magnetization is 0.00 μB/cell. The calculation puts the distance to the lowest polymorph of the same formula at 0.0000 eV per atom. Its space-group type is C2/c (15).

Lattice parameters (Å, degrees): 8.102 8.102 4.465 90.05 90.05 141.34
Atoms (fractional coordinates):
Li1 0.040 0.457 0.250
Li2 0.204 0.287 0.249
Li3 0.287 0.204 0.749
Li4 0.457 0.040 0.750
Li5 0.543 0.960 0.250
Li6 0.713 0.796 0.251
Li7 0.796 0.713 0.751
Li8 0.960 0.543 0.750
Cu1 0.125 0.875 0.250
Cu2 0.875 0.125 0.750
Ag1 0.375 0.625 0.750
Ag2 0.625 0.375 0.250

=====

VASP calculation (PBE) on a relaxed AlAgTe2I crystal.

Summary:
For the uncorrected formation energy, the calculation gives 0.30 eV per atom. The crystal system is tetragonal. The total magnetization is 0.00 μB/cell. The calculation puts the distance to the lowest polymorph of the same formula at 0.0000 eV per atom. Its space-group type is P4/mmm (123).

Lattice parameters (Å, degrees): 5.361 5.361 5.654 90.00 90.00 90.00
Atoms (fractional coordinates):
Al1 0.000 0.000 0.000
Ag1 0.500 0.500 0.500
Te1 0.000 0.500 0.000
Te2 0.500 0.000 0.000
I1 0.000 0.000 0.500

=====

VASP calculation (PBE) on a relaxed BaTa2Ge2 crystal.

Summary:
For the formation energy, the calculation gives 192 meV per atom. The crystal system is tetragonal. The total magnetization is 0.00 μB/cell. Its space-group type is I4/mmm (139).

Lattice parameters (Å, degrees): 4.988 4.988 9.584 90.00 90.00 90.00
Atoms (fractional coordinates):
Ba1 0.000 0.000 0.000
Ba2 0.500 0.500 0.500
Ta1 0.000 0.000 0.356
Ta2 0.000 0.000 0.644
Ta3 0.500 0.500 0.144
Ta4 0.500 0.500 0.856
Ge1 0.000 0.500 0.250
Ge2 0.000 0.500 0.750
Ge3 0.500 0.000 0.250
Ge4 0.500 0.000 0.750

=====

VASP calculation (PBE) on a relaxed RbTaSn2 crystal.

Summary:
For the formation energy, the calculation gives 536 meV per atom. The crystal system is tetragonal. The total magnetization is 0.00 μB/cell. The calculation puts the distance to the lowest polymorph of the same formula at 0.0000 eV per atom. Its space-group type is I-42d (122).

Lattice parameters (Å, degrees): 6.623 6.623 16.891 90.00 90.00 90.00
Atoms (fractional coordinates):
Rb1 0.000 0.000 0.000
Rb2 0.000 0.500 0.250
Rb3 0.500 0.000 0.750
Rb4 0.500 0.500 0.500
Ta1 0.000 0.000 0.500
Ta2 0.000 0.500 0.750
Ta3 0.500 0.000 0.250
Ta4 0.500 0.500 0.000
Sn1 0.014 0.250 0.625
Sn2 0.250 0.514 0.875
Sn3 0.250 0.986 0.375
Sn4 0.486 0.250 0.125
Sn5 0.514 0.750 0.125
Sn6 0.750 0.014 0.375
Sn7 0.750 0.486 0.875
Sn8 0.986 0.750 0.625